one.
Density functional theory data (PBE) for crystalline Li2GePd6 at its relaxed geometry.

POSCAR file:
```
Li2GePd6
1.0
-2.108 2.852 2.063
2.028 -2.087 4.958
4.756 3.359 -3.865
Li Pd Ge
2 6 1
direct
0.668 0.668 0.337
0.332 0.332 0.663
0.500 0.749 0.000
0.500 0.251 0.000
0.834 0.087 0.667
0.166 0.420 0.333
0.834 0.580 0.667
0.166 0.913 0.333
0.000 0.000 0.000
```

The space group is No. 71.

two.
Density functional theory data (PBE) for crystalline Li2GePd6 at its relaxed geometry.

POSCAR file:
```
Li2GePd6
1.0
1.393 2.408 3.368
-4.258 -0.868 -0.452
0.873 -6.528 4.305
Pd Ge Li
6 1 2
direct
0.333 0.667 0.403
0.333 0.667 0.044
0.000 0.000 0.814
0.667 0.333 0.956
0.000 0.000 0.186
0.667 0.333 0.597
0.000 0.000 0.500
0.667 0.333 0.268
0.333 0.667 0.732
```

The space group is No. 164.

Quick one: most stable of them? two

one.
Density functional theory data (PBE) for crystalline LiGe2Pd8 at its relaxed geometry.

POSCAR file:
```
LiGe2Pd8
1.0
4.555 -0.161 -0.242
-0.986 6.545 -0.149
-0.986 -2.658 5.983
Pd Li Ge
8 1 2
direct
0.102 0.324 0.080
0.898 0.920 0.676
0.500 0.771 0.229
0.500 0.229 0.771
0.898 0.676 0.920
0.679 0.380 0.380
0.102 0.080 0.324
0.321 0.620 0.620
0.500 0.000 0.000
0.000 0.685 0.315
0.000 0.315 0.685
```

The space group is No. 12.

two.
Density functional theory data (PBE) for crystalline LiGe2Pd8 at its relaxed geometry.

POSCAR file:
```
LiGe2Pd8
1.0
-2.037 -0.064 -3.527
5.565 2.948 -3.267
0.366 -6.721 2.262
Pd Li Ge
8 1 2
direct
0.337 0.558 0.675
0.139 0.139 0.277
0.337 0.116 0.675
0.000 0.690 0.000
0.861 0.861 0.723
0.000 0.310 0.000
0.663 0.442 0.325
0.663 0.884 0.325
0.500 0.000 0.000
0.192 0.692 0.385
0.808 0.308 0.615
```

The space group is No. 71.

Quick one: most stable of them? two

one.
Density functional theory data (PBE) for crystalline LiGe3Pd3 at its relaxed geometry.

POSCAR file:
```
LiGe3Pd3
1.0
-1.618 3.635 -5.627
-6.673 -1.389 1.022
-0.595 5.688 3.846
Ge Pd Li
6 6 2
direct
0.000 0.500 0.750
0.250 0.000 0.500
0.500 0.250 0.000
0.500 0.750 0.000
0.750 0.000 0.500
0.000 0.500 0.250
0.500 0.000 0.250
0.000 0.750 0.500
0.750 0.500 0.000
0.500 0.000 0.750
0.000 0.250 0.500
0.250 0.500 0.000
0.000 0.000 0.000
0.500 0.500 0.500
```

The space group is No. 223.

two.
Density functional theory data (PBE) for crystalline LiGe3Pd3 at its relaxed geometry.

POSCAR file:
```
LiGe3Pd3
1.0
7.382 0.000 0.000
3.691 6.393 0.000
3.691 2.131 5.098
Pd Ge Li
6 6 2
direct
0.734 0.377 0.831
0.058 0.734 0.831
0.377 0.058 0.831
0.623 0.942 0.169
0.266 0.623 0.169
0.942 0.266 0.169
0.772 0.111 0.665
0.889 0.547 0.335
0.228 0.889 0.335
0.547 0.228 0.335
0.111 0.453 0.665
0.453 0.772 0.665
0.333 0.333 0.002
0.667 0.667 0.998
```

The space group is No. 148.

Quick one: most stable of them? two

one.
Density functional theory data (PBE) for crystalline Li2GePd3 at its relaxed geometry.

POSCAR file:
```
Li2GePd3
1.0
4.958 -0.093 -0.068
2.014 4.531 -0.068
2.014 1.282 4.347
Pd Li Ge
3 2 1
direct
0.000 0.000 0.500
0.000 0.500 0.000
0.500 0.000 0.000
0.623 0.623 0.623
0.377 0.377 0.377
0.000 0.000 0.000
```

The space group is No. 166.

two.
Density functional theory data (PBE) for crystalline Li2GePd3 at its relaxed geometry.

POSCAR file:
```
Li2GePd3
1.0
4.361 0.000 0.017
2.180 6.589 0.009
-0.023 0.000 5.823
Li Pd Ge
4 6 2
direct
0.334 0.333 0.500
0.000 0.000 0.500
0.000 0.000 0.000
0.666 0.667 0.500
0.500 0.000 0.254
0.828 0.343 0.755
0.172 0.657 0.755
0.828 0.343 0.245
0.500 0.000 0.746
0.172 0.657 0.245
0.656 0.688 0.000
0.344 0.312 0.000
```

The space group is No. 65.

Quick one: most stable of them? two

one.
Density functional theory data (PBE) for crystalline LiGePd6 at its relaxed geometry.

POSCAR file:
```
LiGePd6
1.0
7.003 0.257 -0.518
3.692 5.776 -0.833
3.262 1.694 2.798
Pd Li Ge
6 1 1
direct
0.504 0.246 0.248
0.935 0.419 0.885
0.065 0.581 0.115
0.762 0.948 0.745
0.496 0.754 0.752
0.238 0.052 0.255
0.500 0.500 0.500
0.000 0.000 0.000
```

The space group is No. 2.

two.
Density functional theory data (PBE) for crystalline LiGePd6 at its relaxed geometry.

POSCAR file:
```
LiGePd6
1.0
-2.031 2.031 7.070
2.031 -2.031 7.070
2.031 2.031 -7.070
Pd Ge Li
6 1 1
direct
0.611 0.111 0.500
0.889 0.389 0.500
0.751 0.751 0.000
0.249 0.249 0.000
0.111 0.611 0.500
0.389 0.889 0.500
0.000 0.000 0.000
0.500 0.500 0.000
```

The space group is No. 139.

Quick one: most stable of them? two

one.
Density functional theory data (PBE) for crystalline LiGe2Pd4 at its relaxed geometry.

POSCAR file:
```
LiGe2Pd4
1.0
4.195 0.000 0.000
0.000 4.195 0.000
2.098 2.098 6.483
Ge Pd Li
2 4 1
direct
0.627 0.627 0.747
0.373 0.373 0.253
0.811 0.811 0.379
0.189 0.189 0.621
0.500 0.000 0.000
0.000 0.500 0.000
0.000 0.000 0.000
```

The space group is No. 139.

two.
Density functional theory data (PBE) for crystalline LiGe2Pd4 at its relaxed geometry.

POSCAR file:
```
LiGe2Pd4
1.0
-2.664 -0.899 2.693
-2.393 -6.014 -4.376
5.171 -4.650 3.562
Pd Li Ge
8 2 4
direct
0.500 0.824 0.431
0.000 0.676 0.931
0.000 0.931 0.676
0.000 0.324 0.069
0.000 0.069 0.324
0.500 0.431 0.824
0.500 0.569 0.176
0.500 0.176 0.569
0.500 0.000 0.000
0.000 0.500 0.500
0.000 0.762 0.238
0.500 0.262 0.262
0.000 0.238 0.762
0.500 0.738 0.738
```

The space group is No. 136.

Quick one: most stable of them? two

one.
Density functional theory data (PBE) for crystalline Li2GePd5 at its relaxed geometry.

POSCAR file:
```
Li2GePd5
1.0
4.139 0.000 0.000
0.000 5.370 0.000
0.000 0.000 10.303
Pd Ge Li
10 2 4
direct
0.000 0.000 0.000
0.500 0.827 0.390
0.500 0.673 0.890
0.000 0.117 0.266
0.000 0.617 0.234
0.000 0.883 0.734
0.500 0.173 0.610
0.000 0.500 0.500
0.000 0.383 0.766
0.500 0.327 0.110
0.000 0.000 0.500
0.000 0.500 0.000
0.500 0.654 0.637
0.500 0.154 0.863
0.500 0.846 0.137
0.500 0.346 0.363
```

The space group is No. 55.

two.
Density functional theory data (PBE) for crystalline Li2GePd5 at its relaxed geometry.

POSCAR file:
```
Li2GePd5
1.0
6.224 0.000 0.000
0.000 6.224 0.000
-3.112 -3.112 5.827
Li Pd Ge
4 10 2
direct
0.638 0.138 0.000
0.362 0.862 0.000
0.862 0.638 0.000
0.138 0.362 0.000
0.006 0.506 0.693
0.494 0.313 0.307
0.813 0.994 0.307
0.313 0.813 0.307
0.506 0.687 0.693
0.687 0.187 0.693
0.994 0.494 0.307
0.000 0.000 0.000
0.500 0.500 0.000
0.187 0.006 0.693
0.750 0.750 0.500
0.250 0.250 0.500
```

The space group is No. 140.

Quick one: most stable of them? one

one.
Density functional theory data (PBE) for crystalline LiGe2Pd3 at its relaxed geometry.

POSCAR file:
```
LiGe2Pd3
1.0
-1.136 -3.573 6.091
1.256 -6.871 1.540
4.730 -2.847 4.548
Pd Li Ge
6 2 4
direct
0.481 0.019 0.750
0.250 0.519 0.981
0.981 0.250 0.519
0.519 0.981 0.250
0.750 0.481 0.019
0.019 0.750 0.481
0.000 0.000 0.000
0.500 0.500 0.500
0.142 0.142 0.142
0.642 0.642 0.642
0.858 0.858 0.858
0.358 0.358 0.358
```

The space group is No. 167.

two.
Density functional theory data (PBE) for crystalline LiGe2Pd3 at its relaxed geometry.

POSCAR file:
```
LiGe2Pd3
1.0
4.430 0.000 0.017
2.215 6.628 0.009
-0.024 0.000 6.123
Pd Ge Li
6 4 2
direct
0.162 0.676 0.749
0.500 0.000 0.252
0.162 0.676 0.251
0.838 0.324 0.749
0.838 0.324 0.251
0.500 0.000 0.748
0.000 0.000 0.500
0.000 0.000 0.000
0.671 0.659 0.500
0.329 0.341 0.500
0.332 0.337 0.000
0.668 0.663 0.000
```

The space group is No. 65.

Quick one: most stable of them? two